No. 1
DFT (PBE-GGA) results for MgHg4Os after structural relaxation.

Values from the calculation:
Calculated formation energy ... 0.81 eV per atom
Energy ... -0.11213 Ry/atom

POSCAR file:
```
MgHg4Os
1.0
0.000 3.990 3.990
3.990 0.000 3.990
3.990 3.990 0.000
Hg Mg Os
4 1 1
direct
0.876 0.375 0.375
0.375 0.375 0.876
0.375 0.375 0.375
0.375 0.876 0.375
0.750 0.750 0.750
0.000 0.000 0.000
```



No. 2
DFT (PBE-GGA) results for MgHg2Os after structural relaxation.

Values from the calculation:
Calculated formation energy ... 0.61 eV per atom
Energy ... -0.20218 Ry/atom

POSCAR file:
```
MgHg2Os
1.0
-2.579 3.932 -0.430
-4.692 -0.189 0.490
-2.055 1.903 3.801
Mg Os Hg
1 1 2
direct
0.500 0.500 0.500
0.250 0.250 0.250
0.750 0.750 0.750
0.000 0.000 0.000
```



No. 3
DFT (PBE-GGA) results for Mg2HgOs after structural relaxation.

Values from the calculation:
Calculated formation energy ... 0.20 eV per atom
Energy ... -0.25596 Ry/atom

POSCAR file:
```
Mg2HgOs
1.0
-3.699 -0.265 3.101
2.177 -1.386 4.088
1.187 3.730 -2.837
Mg Os Hg
2 1 1
direct
0.000 0.000 0.000
0.500 0.500 0.000
0.250 0.750 0.500
0.750 0.250 0.500
```



No. 4
DFT (PBE-GGA) results for Mg2Hg4Os after structural relaxation.

Values from the calculation:
Calculated formation energy ... 0.42 eV per atom
Energy ... -0.13336 Ry/atom

POSCAR file:
```
Mg2Hg4Os
1.0
-5.023 0.523 -1.534
1.112 -2.522 -4.501
-3.502 -7.044 -0.013
Mg Os Hg
2 1 4
direct
0.610 0.610 0.781
0.390 0.390 0.219
0.000 0.000 0.000
0.500 0.000 0.000
0.000 0.500 0.000
0.196 0.196 0.609
0.804 0.804 0.391
```



No. 5
DFT (PBE-GGA) results for Mg2HgOs after structural relaxation.

Values from the calculation:
Calculated formation energy ... 0.13 eV per atom
Energy ... -0.26076 Ry/atom

POSCAR file:
```
Mg2HgOs
1.0
-1.450 -1.300 2.394
0.679 -2.799 -1.109
6.579 0.015 3.993
Mg Hg Os
2 1 1
direct
0.000 0.000 0.037
0.000 0.000 0.463
0.500 0.500 0.750
0.500 0.500 0.250
```



No. 6
DFT (PBE-GGA) results for Mg2HgOs after structural relaxation.

Values from the calculation:
Calculated formation energy ... 0.31 eV per atom
Energy ... -0.24736 Ry/atom

POSCAR file:
```
Mg2HgOs
1.0
-0.637 4.104 -2.095
-2.607 0.270 -3.843
-4.163 2.069 0.155
Mg Os Hg
2 1 1
direct
0.000 0.000 0.000
0.250 0.250 0.250
0.750 0.750 0.750
0.500 0.500 0.500
```



No. 7
DFT (PBE-GGA) results for MgHg2Os after structural relaxation.

Values from the calculation:
Calculated formation energy ... 0.51 eV per atom
Energy ... -0.20894 Ry/atom

POSCAR file:
```
MgHg2Os
1.0
-1.369 -4.538 -8.250
-2.517 -6.624 -6.350
-4.263 -4.326 -7.324
Os Hg Mg
1 2 1
direct
0.750 0.750 0.750
0.500 0.500 0.500
0.000 0.000 0.000
0.250 0.250 0.250
```



No. 8
DFT (PBE-GGA) results for MgHgOs after structural relaxation.

Values from the calculation:
Calculated formation energy ... 0.48 eV per atom
Energy ... -0.28636 Ry/atom

POSCAR file:
```
MgHgOs
1.0
5.116 0.018 -0.007
2.585 4.415 0.007
-3.348 -3.089 2.328
Mg Os Hg
1 1 1
direct
0.324 0.324 0.000
0.674 0.674 0.000
0.001 0.001 0.000
```



No. 9
DFT (PBE-GGA) results for Mg2HgOs after structural relaxation.

Values from the calculation:
Calculated formation energy ... 0.21 eV per atom
Energy ... -0.25473 Ry/atom

POSCAR file:
```
Mg2HgOs
1.0
-5.162 -1.085 0.534
-1.485 -4.964 -1.125
3.506 2.555 3.048
Mg Os Hg
2 1 1
direct
0.002 0.002 0.000
0.742 0.242 0.500
0.502 0.502 0.000
0.253 0.753 0.500
```



No. 10
DFT (PBE-GGA) results for MgHgOs after structural relaxation.

Values from the calculation:
Calculated formation energy ... 0.45 eV per atom
Energy ... -0.28857 Ry/atom

POSCAR file:
```
MgHgOs
1.0
-2.277 1.732 -0.739
-0.485 -2.765 0.923
-0.411 2.275 6.598
Mg Os Hg
1 1 1
direct
0.667 0.333 0.349
0.333 0.667 0.652
0.000 0.000 0.999
```



No. 11
DFT (PBE-GGA) results for MgHgOs after structural relaxation.

Values from the calculation:
Calculated formation energy ... 0.51 eV per atom
Energy ... -0.28416 Ry/atom

POSCAR file:
```
MgHgOs
1.0
7.272 0.032 -0.022
6.516 2.782 0.106
0.756 -0.887 2.606
Mg Os Hg
1 1 1
direct
0.325 0.325 0.675
0.675 0.675 0.325
0.001 0.001 0.999
```



No. 12
DFT (PBE-GGA) results for Mg2HgOs after structural relaxation.

Values from the calculation:
Calculated formation energy ... 0.42 eV per atom
Energy ... -0.23929 Ry/atom

POSCAR file:
```
Mg2HgOs
1.0
2.938 -0.041 0.000
-1.249 2.659 0.000
0.000 0.000 9.658
Mg Os Hg
2 1 1
direct
0.500 0.500 0.271
0.000 0.000 0.997
0.000 0.000 0.491
0.500 0.500 0.741
```



No. 13
DFT (PBE-GGA) results for Mg2HgOs after structural relaxation.

Values from the calculation:
Calculated formation energy ... 0.17 eV per atom
Energy ... -0.25803 Ry/atom

POSCAR file:
```
Mg2HgOs
1.0
-0.601 0.558 3.409
-2.922 -3.332 0.030
3.244 -2.835 1.037
Hg Mg Os
1 2 1
direct
0.500 0.000 0.500
0.000 0.000 0.000
0.000 0.500 0.500
0.500 0.500 0.000
```



No. 14
DFT (PBE-GGA) results for Mg2HgOs after structural relaxation.

Values from the calculation:
Calculated formation energy ... 0.53 eV per atom
Energy ... -0.23138 Ry/atom

POSCAR file:
```
Mg2HgOs
1.0
7.366 0.000 0.000
0.000 7.366 0.000
3.683 3.683 2.830
Mg Os Hg
4 2 2
direct
0.875 0.864 0.750
0.136 0.625 0.250
0.375 0.386 0.750
0.614 0.125 0.250
0.250 0.750 0.500
0.500 0.500 0.000
0.750 0.250 0.500
0.000 0.000 0.000
```



No. 15
DFT (PBE-GGA) results for Mg2HgOs after structural relaxation.

Values from the calculation:
Calculated formation energy ... 0.20 eV per atom
Energy ... -0.25573 Ry/atom

POSCAR file:
```
Mg2HgOs
1.0
9.696 0.041 0.024
9.223 2.992 0.024
9.223 1.479 2.601
Hg Os Mg
1 1 2
direct
0.750 0.750 0.750
0.250 0.250 0.250
0.509 0.509 0.509
0.991 0.991 0.991
```



No. 16
DFT (PBE-GGA) results for MgHg2Os after structural relaxation.

Values from the calculation:
Calculated formation energy ... 0.48 eV per atom
Energy ... -0.21173 Ry/atom

POSCAR file:
```
MgHg2Os
1.0
2.954 -0.051 0.000
-1.214 2.694 0.000
0.000 0.000 9.767
Hg Mg Os
2 1 1
direct
0.500 0.500 0.265
0.000 0.000 0.981
0.000 0.000 0.520
0.500 0.500 0.734
```



No. 17
DFT (PBE-GGA) results for MgHg2Os after structural relaxation.

Values from the calculation:
Calculated formation energy ... 0.59 eV per atom
Energy ... -0.20301 Ry/atom

POSCAR file:
```
MgHg2Os
1.0
3.022 -0.029 0.000
-1.481 2.634 0.000
0.000 0.000 9.734
Hg Mg Os
2 1 1
direct
0.000 0.000 0.503
0.000 0.000 0.997
0.500 0.500 0.250
0.500 0.500 0.750
```



No. 18
DFT (PBE-GGA) results for MgHg2Os after structural relaxation.

Values from the calculation:
Calculated formation energy ... 0.47 eV per atom
Energy ... -0.21209 Ry/atom

POSCAR file:
```
MgHg2Os
1.0
-3.024 3.605 -1.836
-4.595 1.116 -1.775
-2.281 1.553 4.560
Mg Hg Os
1 2 1
direct
0.750 0.750 0.750
0.504 0.504 0.494
0.996 0.996 0.006
0.250 0.250 0.250
```



No. 19
DFT (PBE-GGA) results for MgHgOs4 after structural relaxation.

Values from the calculation:
Calculated formation energy ... 0.65 eV per atom
Energy ... -0.52561 Ry/atom

POSCAR file:
```
MgHgOs4
1.0
-0.873 -2.623 4.453
-3.638 -3.770 0.150
1.445 -5.022 0.410
Os Mg Hg
4 1 1
direct
0.375 0.375 0.375
0.375 0.375 0.875
0.875 0.375 0.375
0.375 0.875 0.375
0.000 0.000 0.000
0.750 0.750 0.750
```



No. 20
DFT (PBE-GGA) results for MgHg2Os after structural relaxation.

Values from the calculation:
Calculated formation energy ... 0.41 eV per atom
Energy ... -0.21668 Ry/atom

POSCAR file:
```
MgHg2Os
1.0
4.231 0.000 0.000
0.000 4.230 0.000
0.000 0.000 4.043
Hg Os Mg
2 1 1
direct
0.500 0.500 0.000
0.000 0.000 0.000
0.000 0.500 0.500
0.500 0.000 0.500
```



No. 21
DFT (PBE-GGA) results for MgHg2Os after structural relaxation.

Values from the calculation:
Calculated formation energy ... 0.57 eV per atom
Energy ... -0.20500 Ry/atom

POSCAR file:
```
MgHg2Os
1.0
3.013 0.000 0.000
0.000 3.013 0.000
0.000 0.000 8.261
Os Mg Hg
1 1 2
direct
0.500 0.500 0.750
0.500 0.500 0.250
0.000 0.000 0.993
0.000 0.000 0.507
```



No. 22
DFT (PBE-GGA) results for Mg2HgOs after structural relaxation.

Values from the calculation:
Calculated formation energy ... 0.33 eV per atom
Energy ... -0.24659 Ry/atom

POSCAR file:
```
Mg2HgOs
1.0
3.453 0.000 0.000
0.000 3.453 0.000
0.000 0.000 6.037
Mg Hg Os
2 1 1
direct
0.000 0.000 0.998
0.500 0.500 0.281
0.500 0.500 0.747
0.000 0.000 0.474
```



No. 23
DFT (PBE-GGA) results for MgHg2Os after structural relaxation.

Values from the calculation:
Calculated formation energy ... 0.52 eV per atom
Energy ... -0.20851 Ry/atom

POSCAR file:
```
MgHg2Os
1.0
3.465 0.000 0.000
0.000 3.465 0.000
0.000 0.000 6.130
Hg Mg Os
2 1 1
direct
0.000 0.000 0.503
0.000 0.000 0.997
0.500 0.500 0.250
0.500 0.500 0.750
```



No. 24
DFT (PBE-GGA) results for MgHgOs after structural relaxation.

Values from the calculation:
Calculated formation energy ... 0.48 eV per atom
Energy ... -0.28631 Ry/atom

POSCAR file:
```
MgHgOs
1.0
6.727 0.768 0.000
5.071 4.486 0.000
-5.899 -2.627 2.035
Os Hg Mg
1 1 1
direct
0.675 0.675 0.000
0.004 0.004 0.000
0.321 0.321 0.000
```



No. 25
DFT (PBE-GGA) results for MgHg2Os after structural relaxation.

Values from the calculation:
Calculated formation energy ... 0.45 eV per atom
Energy ... -0.21342 Ry/atom

POSCAR file:
```
MgHg2Os
1.0
-2.314 -1.660 -4.879
2.026 -4.564 -2.641
-2.279 2.016 4.759
Os Hg Mg
1 2 1
direct
0.256 0.756 0.500
0.750 0.250 0.500
0.016 0.016 0.000
0.479 0.479 0.000
```



No. 26
DFT (PBE-GGA) results for Mg2HgOs after structural relaxation.

Values from the calculation:
Calculated formation energy ... 0.21 eV per atom
Energy ... -0.25506 Ry/atom

POSCAR file:
```
Mg2HgOs
1.0
2.913 -0.062 0.000
-0.996 2.738 0.000
0.000 0.000 9.218
Hg Mg Os
1 2 1
direct
0.500 0.500 0.750
0.000 0.000 0.025
0.000 0.000 0.475
0.500 0.500 0.250
```



No. 27
DFT (PBE-GGA) results for MgHgOs after structural relaxation.

Values from the calculation:
Calculated formation energy ... 0.90 eV per atom
Energy ... -0.25562 Ry/atom

POSCAR file:
```
MgHgOs
1.0
4.513 0.000 0.000
2.257 3.909 0.000
2.257 1.303 3.685
Hg Mg Os
1 1 1
direct
0.000 0.000 0.000
0.500 0.500 0.500
0.750 0.750 0.750
```



No. 28
DFT (PBE-GGA) results for MgHg2Os after structural relaxation.

Values from the calculation:
Calculated formation energy ... 0.48 eV per atom
Energy ... -0.21168 Ry/atom

POSCAR file:
```
MgHg2Os
1.0
-1.294 2.869 -4.292
3.300 -0.579 -4.135
-2.605 -3.323 3.240
Hg Os Mg
2 1 1
direct
0.250 0.750 0.500
0.000 0.000 0.000
0.750 0.250 0.500
0.500 0.500 0.000
```



No. 29
DFT (PBE-GGA) results for MgHg2Os after structural relaxation.

Values from the calculation:
Calculated formation energy ... 0.52 eV per atom
Energy ... -0.20824 Ry/atom

POSCAR file:
```
MgHg2Os
1.0
-4.897 -0.337 -0.193
0.154 -2.737 0.880
-0.287 1.181 5.222
Hg Mg Os
2 1 1
direct
0.000 0.969 0.996
0.000 0.531 0.504
0.500 0.250 0.250
0.500 0.750 0.750
```



No. 30
DFT (PBE-GGA) results for MgHg2Os after structural relaxation.

Values from the calculation:
Calculated formation energy ... 0.72 eV per atom
Energy ... -0.19415 Ry/atom

POSCAR file:
```
MgHg2Os
1.0
-3.458 2.241 0.117
-0.744 -1.347 3.824
2.919 8.003 5.608
Mg Os Hg
2 2 4
direct
0.500 0.500 0.000
0.250 0.750 0.500
0.750 0.250 0.500
0.000 0.000 0.000
0.113 0.625 0.250
0.875 0.887 0.750
0.637 0.125 0.250
0.375 0.363 0.750
```